1.
Ta4PbC2S | GGA-PBE | optimized geometry

```
data_Ta4PbC2S
_symmetry_space_group_name_H-M 'P -6 m 2'
_symmetry_Int_Tables_number 187
_symmetry_space_group_name_Hall 'P -6 2'
_cell_length_a 3.3148
_cell_length_b 3.3148
_cell_length_c 12.7712
_cell_angle_alpha 90.00
_cell_angle_beta 90.00
_cell_angle_gamma 120.00
loop_
_atom_site_label
_atom_site_type_symbol
_atom_site_fract_x
_atom_site_fract_y
_atom_site_fract_z
Ta1 Ta 0.0000 0.0000 0.1391
Ta2 Ta 0.6667 0.3333 0.3102
Pb1 Pb 0.0000 0.0000 0.5000
C1 C 0.3333 0.6667 0.2275
S1 S 0.6667 0.3333 0.0000
```

2.
Ta4PbC2S | GGA-PBE | optimized geometry

```
data_Ta4PbC2S
_symmetry_space_group_name_H-M 'P -6 m 2'
_symmetry_Int_Tables_number 187
_symmetry_space_group_name_Hall 'P -6 2'
_cell_length_a 3.3148
_cell_length_b 3.3148
_cell_length_c 12.7711
_cell_angle_alpha 90.00
_cell_angle_beta 90.00
_cell_angle_gamma 120.00
loop_
_atom_site_label
_atom_site_type_symbol
_atom_site_fract_x
_atom_site_fract_y
_atom_site_fract_z
Ta1 Ta 0.0000 0.0000 0.1391
Ta2 Ta 0.3333 0.6667 0.3102
Pb1 Pb 0.0000 0.0000 0.5000
C1 C 0.6667 0.3333 0.2274
S1 S 0.3333 0.6667 0.0000
```

3.
Tm4PbC2S | GGA-PBE | optimized geometry

```
data_Tm4PbC2S
_symmetry_space_group_name_H-M 'P -6 m 2'
_symmetry_Int_Tables_number 187
_symmetry_space_group_name_Hall 'P -6 2'
_cell_length_a 3.6164
_cell_length_b 3.6164
_cell_length_c 14.2451
_cell_angle_alpha 90.00
_cell_angle_beta 90.00
_cell_angle_gamma 120.00
loop_
_atom_site_label
_atom_site_type_symbol
_atom_site_fract_x
_atom_site_fract_y
_atom_site_fract_z
Tm1 Tm 0.0000 0.0000 0.1299
Tm2 Tm 0.6667 0.3333 0.3128
Pb1 Pb 0.0000 0.0000 0.5000
C1 C 0.3333 0.6667 0.2236
S1 S 0.6667 0.3333 0.0000
```

4.
SbPbW4C2 | GGA-PBE | optimized geometry

```
data_SbPbW4C2
_symmetry_space_group_name_H-M 'P -6 m 2'
_symmetry_Int_Tables_number 187
_symmetry_space_group_name_Hall 'P -6 2'
_cell_length_a 3.2550
_cell_length_b 3.2550
_cell_length_c 13.4464
_cell_angle_alpha 90.00
_cell_angle_beta 90.00
_cell_angle_gamma 120.00
loop_
_atom_site_label
_atom_site_type_symbol
_atom_site_fract_x
_atom_site_fract_y
_atom_site_fract_z
Sb1 Sb 0.0000 0.0000 0.0000
Pb1 Pb 0.6667 0.3333 0.5000
W1 W 0.0000 0.0000 0.3227
W2 W 0.6667 0.3333 0.1642
C1 C 0.3333 0.6667 0.2451
```

5.
Zr4SbPbC2 | GGA-PBE | optimized geometry

```
data_Zr4SbPbC2
_symmetry_space_group_name_H-M 'P -6 m 2'
_symmetry_Int_Tables_number 187
_symmetry_space_group_name_Hall 'P -6 2'
_cell_length_a 3.4330
_cell_length_b 3.4330
_cell_length_c 14.5159
_cell_angle_alpha 90.00
_cell_angle_beta 90.00
_cell_angle_gamma 120.00
loop_
_atom_site_label
_atom_site_type_symbol
_atom_site_fract_x
_atom_site_fract_y
_atom_site_fract_z
Zr1 Zr 0.0000 0.0000 0.1581
Zr2 Zr 0.3333 0.6667 0.3275
Sb1 Sb 0.3333 0.6667 0.0000
Pb1 Pb 0.0000 0.0000 0.5000
C1 C 0.6667 0.3333 0.2441
```

6.
TmSc2PbC | GGA-PBE | optimized geometry

```
data_TmSc2PbC
_symmetry_space_group_name_H-M 'P 4/m m m'
_symmetry_Int_Tables_number 123
_symmetry_space_group_name_Hall '-P 4 2'
_cell_length_a 4.589
_cell_length_b 4.589
_cell_length_c 4.796
_cell_angle_alpha 90.00
_cell_angle_beta 90.00
_cell_angle_gamma 90.00
loop_
_atom_site_label
_atom_site_type_symbol
_atom_site_fract_x
_atom_site_fract_y
_atom_site_fract_z
Tm1 Tm 0.000 0.000 0.000
Sc1 Sc 0.000 0.500 0.500
Pb1 Pb 0.500 0.500 0.000
C1 C 0.000 0.000 0.500
```

7.
Zr2Sc4Pb3C3 | GGA-PBE | optimized geometry

```
data_Zr2Sc4Pb3C3
_symmetry_space_group_name_H-M 'C 1 2/c 1'
_symmetry_Int_Tables_number 15
_symmetry_space_group_name_Hall '-C 2yc'
_cell_length_a 10.218
_cell_length_b 5.899
_cell_length_c 15.437
_cell_angle_alpha 90.00
_cell_angle_beta 102.81
_cell_angle_gamma 90.00
loop_
_atom_site_label
_atom_site_type_symbol
_atom_site_fract_x
_atom_site_fract_y
_atom_site_fract_z
Zr1 Zr 0.059 0.085 0.420
Sc1 Sc 0.110 0.421 0.581
Sc2 Sc 0.221 0.414 0.919
Pb1 Pb 0.000 0.416 0.250
Pb2 Pb 0.166 0.083 0.749
C1 C 0.081 0.243 0.000
C2 C 0.250 0.250 0.500
```

8.
Tb4PbC2Se | GGA-PBE | optimized geometry

```
data_Tb4PbC2Se
_symmetry_space_group_name_H-M 'P -6 m 2'
_symmetry_Int_Tables_number 187
_symmetry_space_group_name_Hall 'P -6 2'
_cell_length_a 3.7248
_cell_length_b 3.7248
_cell_length_c 14.7840
_cell_angle_alpha 90.00
_cell_angle_beta 90.00
_cell_angle_gamma 120.00
loop_
_atom_site_label
_atom_site_type_symbol
_atom_site_fract_x
_atom_site_fract_y
_atom_site_fract_z
Tb1 Tb 0.0000 0.0000 0.1358
Tb2 Tb 0.6667 0.3333 0.3177
Pb1 Pb 0.0000 0.0000 0.5000
C1 C 0.3333 0.6667 0.2290
Se1 Se 0.6667 0.3333 0.0000
```

It is found that the total DFT energy (no corrections) values, taken in the order of the records, are -77.2; -77.2; -51.6; -74.6; -66.2; -33.2; -355.6; -50.5 eV per cell.
It is found that the spin magnetization values, taken in the order of the records, are 0.01; 0.01; 0.00; 0.00; 0.00; 0.01; 0.01; 0.01 μB/f.u..